1.
MnZn2Se | GGA-PBE | relaxed

## Properties
* total magnetic moment: 3.222 μB per formula unit
* total energy: -15.1 eV/f.u.
* energy relative to the elements, uncorrected: 17.3 meV/atom

a = 3.4093 Å, b = 3.4093 Å, c = 5.5848 Å
α = 90.00°, β = 90.00°, γ = 90.00°
Closest atoms and distances in Å follow each position.
Space group P4mm (No. 99)
Symmetry-distinct sites (fractional):
Mn 0.0000 0.0000 0.0000 (multiplicity 1)  4 Se 2.60, 6 Zn 2.75-2.89
Zn 0.0000 0.0000 0.5078 (multiplicity 1)  4 Zn 2.67, 2 Mn 2.75-2.84
Zn 0.5000 0.5000 0.7153 (multiplicity 1)  1 Se 2.57, 4 Zn 2.67
Se 0.5000 0.5000 0.1756 (multiplicity 1)  1 Zn 2.57, 4 Mn 2.60

2.
TbNdY5Ho2 | GGA-PBE | relaxed

## Properties
* energy relative to the elements: 0.16 eV/atom
* total magnetic moment: 0.000 μB per formula unit
* total energy: -49.4 eV/f.u.

a = 5.6346 Å, b = 20.0061 Å, c = 10.5466 Å
α = 90.00°, β = 90.00°, γ = 90.00°
Closest atoms and distances in Å follow each position.
Space group Cmc2_1 (No. 36)
Symmetry-distinct sites (fractional):
Tb 0.0000 0.1973 0.0000 (multiplicity 4)  2 Ho 3.40-3.63, 8 Y 3.48-3.81, 2 Nd 3.67
Nd 0.0000 0.4155 0.4350 (multiplicity 4)  5 Y 3.06-3.28
Y 0.0000 0.0171 0.0091 (multiplicity 4)  2 Nd 3.22, 3 Ho 3.37-3.57, 1 Tb 3.61
Y 0.0000 0.2790 0.3046 (multiplicity 4)  1 Nd 3.06, 1 Ho 3.33, 2 Y 3.42
Y 0.0000 0.2985 0.6940 (multiplicity 4)  4 Y 3.42-3.75, 3 Tb 3.48-3.81, 3 Ho 3.53-3.75, 1 Nd 3.60
Y 0.0000 0.3847 0.0096 (multiplicity 4)  6 Y 3.54-3.87, 4 Ho 3.55-3.60, 1 Tb 3.75
Y 0.0000 0.4783 0.7226 (multiplicity 4)  2 Nd 3.09-3.28
Ho 0.0000 0.1115 0.7214 (multiplicity 4)  1 Tb 3.40, 7 Y 3.41-3.75, 2 Nd 3.65
Ho 0.0000 0.1128 0.3050 (multiplicity 4)  9 Y 3.33-3.66, 1 Tb 3.63

3.
AcTmTl2O6 | GGA-PBE | relaxed

## Properties
* total magnetic moment: 0.000 μB per formula unit
* total energy: -63.5 eV/f.u.
* energy relative to the elements, uncorrected: -2045.4 meV/atom

a = 5.9635 Å, b = 5.9635 Å, c = 15.5568 Å
α = 90.00°, β = 90.00°, γ = 120.00°
Closest atoms and distances in Å follow each position.
Space group R3 (No. 146, hexagonal axes)
Symmetry-distinct sites (fractional):
Ac 0.0000 0.0000 0.0000 (multiplicity 3)  6 O 2.46-2.62
Tm 0.0000 0.0000 0.4867 (multiplicity 3)  6 O 2.26-2.28
Tl 0.0000 0.0000 0.2695 (multiplicity 3)  6 O 2.26-2.45
Tl 0.0000 0.0000 0.7761 (multiplicity 3)  6 O 2.23-2.44
O 0.0271 0.3578 0.5466 (multiplicity 9)  2 Tl 2.26-2.44, 1 Tm 2.26
O 0.0338 0.7414 0.3857 (multiplicity 9)  2 Tl 2.23-2.45, 1 Tm 2.28, 1 Ac 2.46

4.
NbCrW | GGA-PBE | relaxed

## Properties
* energy relative to the elements: 0.07 eV/atom
* total magnetic moment: 0.000 μB per formula unit
* excess energy over the best structure of this formula in the dataset: 53 meV/atom
* total energy: -32.4 eV/f.u.

a = 9.4179 Å, b = 4.3985 Å, c = 5.5080 Å
α = 90.00°, β = 125.70°, γ = 90.00°
Closest atoms and distances in Å follow each position.
Space group C2/m (No. 12)
Symmetry-distinct sites (fractional):
Nb 0.1679 0.0000 0.0803 (multiplicity 4)  3 Cr 2.72, 4 W 2.73-2.76, 1 Nb 2.74
Cr 0.0042 0.5000 0.2571 (multiplicity 4)  3 W 2.67-2.69, 3 Nb 2.72, 2 Cr 2.72-2.79
W 0.1646 0.0000 0.5756 (multiplicity 4)  3 Cr 2.67-2.69, 1 W 2.70, 4 Nb 2.73-2.76

5.
Cs2MgIn2 | GGA-PBE | relaxed

## Properties
* energy relative to the elements: 0.16 eV/atom
* total magnetic moment: 0.000 μB per formula unit
* excess energy over the best structure of this formula in the dataset: 71 meV/atom
* total energy: -8.0 eV/f.u.

a = 4.4031 Å, b = 4.4031 Å, c = 25.4045 Å
α = 90.00°, β = 90.00°, γ = 90.00°
Closest atoms and distances in Å follow each position.
Space group I4/mmm (No. 139)
Symmetry-distinct sites (fractional):
Cs 0.0000 0.0000 0.1127 (multiplicity 4)  4 In 4.12, 4 Mg 4.23, 4 Cs 4.40
Mg 0.0000 0.0000 0.5000 (multiplicity 2)  8 Cs 4.23, 4 Mg 4.40
In 0.0000 0.5000 0.2500 (multiplicity 4)  4 In 3.11

6.
YZnCdPt | GGA-PBE | relaxed

## Properties
* energy relative to the elements: -0.59 eV/atom
* total magnetic moment: 0.000 μB per formula unit
* total energy: -17.0 eV/f.u.

a = 6.8183 Å, b = 6.8183 Å, c = 6.8183 Å
α = 90.00°, β = 90.00°, γ = 90.00°
Closest atoms and distances in Å follow each position.
Space group F-43m (No. 216)
Symmetry-distinct sites (fractional):
Y 0.0000 0.0000 0.0000 (multiplicity 4)  4 Zn 2.95, 4 Pt 2.95
Zn 0.2500 0.2500 0.7500 (multiplicity 4)  4 Cd 2.95, 4 Y 2.95
Cd 0.0000 0.0000 0.5000 (multiplicity 4)  4 Pt 2.95, 4 Zn 2.95
Pt 0.2500 0.2500 0.2500 (multiplicity 4)  4 Cd 2.95, 4 Y 2.95